1.
VASP calculation (PBE) on an optimized crystal structure of Th2AgGe3Pt4.

Cell and atoms, written as POSCAR:
```
Th2AgGe3Pt4
1.0
4.330 0.000 0.000
0.000 4.330 0.000
0.000 0.000 10.535
Th Ag Ge Pt
2 1 3 4
direct
0.000 0.500 0.245
0.500 0.000 0.755
0.000 0.000 0.500
0.000 0.500 0.874
0.500 0.000 0.126
0.500 0.500 0.500
0.000 0.000 0.000
0.000 0.500 0.645
0.500 0.000 0.355
0.500 0.500 0.000
```

Summary:
The calculation puts the formation energy at -77 kJ per mole of atoms. Its total moment is 0.0000 μB per atom. The theoretical density comes out at 13.204 Mg/m³. The symmetry is P-4m2 (115).

2.
VASP calculation (PBE) on an optimized crystal structure of Th2AgGe3Pt12.

Cell and atoms, written as POSCAR:
```
Th2AgGe3Pt12
1.0
4.208 2.430 6.013
-4.208 2.430 6.013
0.000 -4.859 6.013
Th Ag Ge Pt
2 1 3 12
direct
0.111 0.111 0.111
0.889 0.889 0.889
0.500 0.500 0.500
0.000 0.500 0.500
0.500 0.000 0.500
0.500 0.500 0.000
0.115 0.645 0.645
0.136 0.136 0.605
0.136 0.605 0.136
0.355 0.355 0.885
0.355 0.885 0.355
0.395 0.864 0.864
0.605 0.136 0.136
0.645 0.115 0.645
0.645 0.645 0.115
0.864 0.395 0.864
0.864 0.864 0.395
0.885 0.355 0.355
```

Summary:
The calculation puts the formation energy at -33 kJ per mole of atoms. Its total moment is 0.0000 μB per atom. The theoretical density comes out at 14.092 Mg/m³. The symmetry is R-3m (166).

3.
VASP calculation (PBE) on an optimized crystal structure of ZnAgGePt.

Cell and atoms, written as POSCAR:
```
ZnAgGePt
1.0
0.000 3.186 3.186
3.186 0.000 3.186
3.186 3.186 0.000
Zn Ag Ge Pt
1 1 1 1
direct
0.000 0.000 0.000
0.750 0.750 0.750
0.500 0.500 0.500
0.250 0.250 0.250
```

Summary:
The calculation puts the formation energy at -13 kJ per mole of atoms. Its total moment is 0.0000 μB per atom. The theoretical density comes out at 11.319 Mg/m³. The symmetry is F-43m (216).

4.
VASP calculation (PBE) on an optimized crystal structure of Pu2AgGe.

Cell and atoms, written as POSCAR:
```
Pu2AgGe
1.0
3.627 0.000 0.000
0.000 3.627 0.000
0.000 0.000 5.222
Pu Ag Ge
2 1 1
direct
0.000 0.500 0.000
0.500 0.000 0.000
0.000 0.000 0.500
0.500 0.500 0.500
```

Summary:
The calculation puts the formation energy at 31 kJ per mole of atoms. Its total moment is 0.0002 μB per atom. The theoretical density comes out at 16.158 Mg/m³. The symmetry is P4/mmm (123).

5.
VASP calculation (PBE) on an optimized crystal structure of Pu2Ag2Ge.

Cell and atoms, written as POSCAR:
```
Pu2Ag2Ge
1.0
-1.899 1.899 8.267
1.899 -1.899 8.267
1.899 1.899 -8.267
Pu Ag Ge
2 2 1
direct
0.090 0.090 0.000
0.910 0.910 0.000
0.250 0.750 0.500
0.750 0.250 0.500
0.500 0.500 0.000
```

Summary:
The calculation puts the formation energy at -3 kJ per mole of atoms. Its total moment is 2.2456 μB per atom. The theoretical density comes out at 10.807 Mg/m³. The symmetry is I4/mmm (139).

6.
VASP calculation (PBE) on an optimized crystal structure of PuAgGe.

Cell and atoms, written as POSCAR:
```
PuAgGe
1.0
-1.610 1.610 6.077
1.610 -1.610 6.077
1.610 1.610 -6.077
Pu Ag Ge
1 1 1
direct
0.000 0.000 0.000
0.691 0.691 0.000
0.330 0.330 0.000
```

Summary:
The calculation puts the formation energy at -1 kJ per mole of atoms. Its total moment is 1.9073 μB per atom. The theoretical density comes out at 11.186 Mg/m³. The symmetry is I4mm (107).

7.
VASP calculation (PBE) on an optimized crystal structure of Pu2AgGe.

Cell and atoms, written as POSCAR:
```
Pu2AgGe
1.0
3.585 -3.589 0.000
3.585 3.589 0.000
0.000 0.000 3.657
Pu Ag Ge
2 1 1
direct
0.000 0.500 0.000
0.500 0.000 0.000
0.000 0.000 0.500
0.500 0.500 0.500
```

Summary:
The calculation puts the formation energy at -13 kJ per mole of atoms. Its total moment is 2.8405 μB per atom. The theoretical density comes out at 11.798 Mg/m³. The symmetry is Cmmm (65).

8.
VASP calculation (PBE) on an optimized crystal structure of Pu4AgGe3.

Cell and atoms, written as POSCAR:
```
Pu4AgGe3
1.0
3.891 0.000 0.000
0.000 4.471 0.000
0.000 0.000 10.549
Pu Ag Ge
4 1 3
direct
0.000 0.000 0.000
0.000 0.500 0.307
0.500 0.000 0.736
0.500 0.500 0.046
0.000 0.000 0.509
0.000 0.500 0.817
0.500 0.000 0.226
0.500 0.500 0.538
```

Summary:
The calculation puts the formation energy at -12 kJ per mole of atoms. Its total moment is 2.7107 μB per atom. Its offset from the most stable computed form is 155 meV per atom. The theoretical density comes out at 11.778 Mg/m³. The symmetry is Pmm2 (25).